Entry 1:
The following is a DFT calculation (PBE-GGA) of RbLaHfBe2 after structural relaxation.

Summary:
Formation energy from the elements: 1.922 eV/atom
SG: P4/mmm
Final energy: -13.69 eV/cell

a = 5.045 Å, b = 5.045 Å, c = 5.196 Å
α = 90.00°, β = 90.00°, γ = 90.00°
Fractional coordinates of all 5 atoms:
1 Rb 0.000 0.000 0.000
2 La 0.500 0.500 0.500
3 Hf 0.000 0.000 0.500
4 Be 0.000 0.500 0.000
5 Be 0.500 0.000 0.000



Entry 2:
The following is a DFT calculation (PBE-GGA) of LaYHf2Be after structural relaxation.

Summary:
Formation energy from the elements: 1.186 eV/atom
SG: P4/mmm
Final energy: -29.09 eV/cell

a = 5.211 Å, b = 5.211 Å, c = 5.142 Å
α = 90.00°, β = 90.00°, γ = 90.00°
Fractional coordinates of all 5 atoms:
1 La 0.000 0.000 0.000
2 Y 0.500 0.500 0.500
3 Hf 0.000 0.500 0.500
4 Hf 0.500 0.000 0.500
5 Be 0.500 0.500 0.000



Among the records above, which one has the lowest formation energy from the elements? LaYHf2Be



Which formula does entry 2 have? LaYHf2Be



Among the records above, which one has the highest formation energy from the elements? RbLaHfBe2